(1)
Crystalline Dy6BiAs3Se2 at its relaxed geometry. Source: Alexandria via LeMat-Bulk, functional PBE-GGA.

Geometry as CIF:
```
data_Dy6BiAs3Se2
_chemical_formula_sum 'Dy12 Bi2 As6 Se4'
_symmetry_space_group_name_H-M 'C 1 2/m 1'
_symmetry_Int_Tables_number 12
_symmetry_space_group_name_Hall '-C 2y'
_cell_length_a 18.2031
_cell_length_b 4.1616
_cell_length_c 8.3714
_cell_angle_alpha 90.00
_cell_angle_beta 103.76
_cell_angle_gamma 90.00
loop_
_atom_site_label
_atom_site_fract_x
_atom_site_fract_y
_atom_site_fract_z
_atom_site_occupancy
Dy1 0.0015 0.0000 0.2333 1
Dy2 0.1644 0.5000 0.0904 1
Dy3 0.1734 0.5000 0.5783 1
Bi1 0.0000 0.5000 0.5000 1
As1 0.0000 0.5000 0.0000 1
As2 0.1658 0.0000 0.3311 1
Se1 0.1687 0.0000 0.8364 1
```

## Properties
E_tot, eV for the cell shown: -141.4
Magnetization, μB/f.u.: 0.00

***

(2)
Crystalline Dy6BiAs2Se3 at its relaxed geometry. Source: Alexandria via LeMat-Bulk, functional PBE-GGA.

Geometry as CIF:
```
data_Dy6BiAs2Se3
_chemical_formula_sum 'Dy12 Bi2 As4 Se6'
_symmetry_space_group_name_H-M 'C 1 2/m 1'
_symmetry_Int_Tables_number 12
_symmetry_space_group_name_Hall '-C 2y'
_cell_length_a 18.1330
_cell_length_b 4.1573
_cell_length_c 8.3451
_cell_angle_alpha 90.00
_cell_angle_beta 102.86
_cell_angle_gamma 90.00
loop_
_atom_site_label
_atom_site_fract_x
_atom_site_fract_y
_atom_site_fract_z
_atom_site_occupancy
Dy1 0.0055 0.0000 0.2681 1
Dy2 0.1707 0.5000 0.5773 1
Dy3 0.1737 0.5000 0.1005 1
Bi1 0.0000 0.5000 0.0000 1
As1 0.1677 0.0000 0.3356 1
Se1 0.0000 0.5000 0.5000 1
Se2 0.1635 0.0000 0.8334 1
```

## Properties
E_tot, eV for the cell shown: -139.7
Magnetization, μB/f.u.: 0.00

***

(3)
Crystalline SmDyBiAs at its relaxed geometry. Source: Alexandria via LeMat-Bulk, functional PBE-GGA.

Geometry as CIF:
```
data_SmDyBiAs
_chemical_formula_sum 'Sm3 Dy3 Bi3 As3'
_symmetry_space_group_name_H-M 'R 3 m'
_symmetry_Int_Tables_number 160
_symmetry_space_group_name_Hall 'R 3 -2"'
_cell_length_a 4.3056
_cell_length_b 4.3056
_cell_length_c 21.5723
_cell_angle_alpha 90.00
_cell_angle_beta 90.00
_cell_angle_gamma 120.00
loop_
_atom_site_label
_atom_site_fract_x
_atom_site_fract_y
_atom_site_fract_z
_atom_site_occupancy
Sm1 0.0000 0.0000 0.0000 1
Dy1 0.0000 0.0000 0.4843 1
Bi1 0.0000 0.0000 0.2403 1
As1 0.0000 0.0000 0.7441 1
```

## Properties
Energy of formation, eV/atom: -1.187
Magnetization, μB/f.u.: 0.00

***

(4)
Crystalline TbDyBiAs at its relaxed geometry. Source: Alexandria via LeMat-Bulk, functional PBE-GGA.

Geometry as CIF:
```
data_TbDyBiAs
_chemical_formula_sum 'Tb3 Dy3 Bi3 As3'
_symmetry_space_group_name_H-M 'R 3 m'
_symmetry_Int_Tables_number 160
_symmetry_space_group_name_Hall 'R 3 -2"'
_cell_length_a 4.2341
_cell_length_b 4.2341
_cell_length_c 22.0803
_cell_angle_alpha 90.00
_cell_angle_beta 90.00
_cell_angle_gamma 120.00
loop_
_atom_site_label
_atom_site_fract_x
_atom_site_fract_y
_atom_site_fract_z
_atom_site_occupancy
Tb1 0.0000 0.0000 0.0000 1
Dy1 0.0000 0.0000 0.1857 1
Bi1 0.0000 0.0000 0.7606 1
As1 0.0000 0.0000 0.5904 1
```

## Properties
Energy of formation, eV/atom: -1.090
Magnetization, μB/f.u.: 0.00

***

(5)
Crystalline Dy4BiTeAs2 at its relaxed geometry. Source: Alexandria via LeMat-Bulk, functional PBE-GGA.

Geometry as CIF:
```
data_Dy4BiTeAs2
_chemical_formula_sum 'Dy4 Bi1 Te1 As2'
_symmetry_space_group_name_H-M 'P 1 2/m 1'
_symmetry_Int_Tables_number 10
_symmetry_space_group_name_Hall '-P 2y'
_cell_length_a 7.3396
_cell_length_b 4.2353
_cell_length_c 7.4677
_cell_angle_alpha 90.00
_cell_angle_beta 109.02
_cell_angle_gamma 90.00
loop_
_atom_site_label
_atom_site_fract_x
_atom_site_fract_y
_atom_site_fract_z
_atom_site_occupancy
Dy1 0.2391 0.0000 0.2227 1
Dy2 0.2575 0.5000 0.7754 1
Bi1 0.0000 0.0000 0.5000 1
Te1 0.5000 0.5000 0.5000 1
As1 0.0000 0.5000 0.0000 1
As2 0.5000 0.0000 0.0000 1
```

## Properties
E_tot, eV for the cell shown: -45.5
Magnetization, μB/f.u.: 0.00

***

(6)
Crystalline Dy4BiTe2As at its relaxed geometry. Source: Alexandria via LeMat-Bulk, functional PBE-GGA.

Geometry as CIF:
```
data_Dy4BiTe2As
_chemical_formula_sum 'Dy4 Bi1 Te2 As1'
_symmetry_space_group_name_H-M 'P 1 2/m 1'
_symmetry_Int_Tables_number 10
_symmetry_space_group_name_Hall '-P 2y'
_cell_length_a 7.5112
_cell_length_b 4.3071
_cell_length_c 7.5440
_cell_angle_alpha 90.00
_cell_angle_beta 109.23
_cell_angle_gamma 90.00
loop_
_atom_site_label
_atom_site_fract_x
_atom_site_fract_y
_atom_site_fract_z
_atom_site_occupancy
Dy1 0.2251 0.0000 0.2253 1
Dy2 0.2356 0.5000 0.7641 1
Bi1 0.0000 0.0000 0.5000 1
Te1 0.5000 0.0000 0.0000 1
Te2 0.5000 0.5000 0.5000 1
As1 0.0000 0.5000 0.0000 1
```

## Properties
E_tot, eV for the cell shown: -43.4
Magnetization, μB/f.u.: 0.00

***

(7)
Crystalline Dy8BiTe4As3 at its relaxed geometry. Source: Alexandria via LeMat-Bulk, functional PBE-GGA.

Geometry as CIF:
```
data_Dy8BiTe4As3
_chemical_formula_sum 'Dy24 Bi3 Te12 As9'
_symmetry_space_group_name_H-M 'R -3 m'
_symmetry_Int_Tables_number 166
_symmetry_space_group_name_Hall '-R 3 2"'
_cell_length_a 8.5309
_cell_length_b 8.5309
_cell_length_c 21.2579
_cell_angle_alpha 90.00
_cell_angle_beta 90.00
_cell_angle_gamma 120.00
loop_
_atom_site_label
_atom_site_fract_x
_atom_site_fract_y
_atom_site_fract_z
_atom_site_occupancy
Dy1 0.0000 0.0000 0.2391 1
Dy2 0.0162 0.5081 0.7582 1
Bi1 0.0000 0.0000 0.5000 1
Te1 0.0000 0.0000 0.0000 1
Te2 0.0000 0.5000 0.0000 1
As1 0.0000 0.5000 0.5000 1
```

## Properties
E_tot, eV for the cell shown: -267.7
Magnetization, μB/f.u.: 0.00

***

(8)
Crystalline DyThBiAs at its relaxed geometry. Source: Alexandria via LeMat-Bulk, functional PBE-GGA.

Geometry as CIF:
```
data_DyThBiAs
_chemical_formula_sum 'Dy3 Th3 Bi3 As3'
_symmetry_space_group_name_H-M 'R 3 m'
_symmetry_Int_Tables_number 160
_symmetry_space_group_name_Hall 'R 3 -2"'
_cell_length_a 4.3319
_cell_length_b 4.3319
_cell_length_c 21.6264
_cell_angle_alpha 90.00
_cell_angle_beta 90.00
_cell_angle_gamma 120.00
loop_
_atom_site_label
_atom_site_fract_x
_atom_site_fract_y
_atom_site_fract_z
_atom_site_occupancy
Dy1 0.0000 0.0000 0.0000 1
Th1 0.0000 0.0000 0.5182 1
Bi1 0.0000 0.0000 0.7564 1
As1 0.0000 0.0000 0.2621 1
```

## Properties
Energy of formation, eV/atom: -1.077
Magnetization, μB/f.u.: 0.00

***

(9)
Crystalline DyTmBiAs at its relaxed geometry. Source: Alexandria via LeMat-Bulk, functional PBE-GGA.

Geometry as CIF:
```
data_DyTmBiAs
_chemical_formula_sum 'Dy3 Tm3 Bi3 As3'
_symmetry_space_group_name_H-M 'R 3 m'
_symmetry_Int_Tables_number 160
_symmetry_space_group_name_Hall 'R 3 -2"'
_cell_length_a 4.1942
_cell_length_b 4.1942
_cell_length_c 21.9291
_cell_angle_alpha 90.00
_cell_angle_beta 90.00
_cell_angle_gamma 120.00
loop_
_atom_site_label
_atom_site_fract_x
_atom_site_fract_y
_atom_site_fract_z
_atom_site_occupancy
Dy1 0.0000 0.0000 0.0000 1
Tm1 0.0000 0.0000 0.1861 1
Bi1 0.0000 0.0000 0.7613 1
As1 0.0000 0.0000 0.5897 1
```

## Properties
Energy of formation, eV/atom: -1.060
Magnetization, μB/f.u.: 0.00

***

(10)
Crystalline DyYBiAs at its relaxed geometry. Source: Alexandria via LeMat-Bulk, functional PBE-GGA.

Geometry as CIF:
```
data_DyYBiAs
_chemical_formula_sum 'Dy3 Y3 Bi3 As3'
_symmetry_space_group_name_H-M 'R 3 m'
_symmetry_Int_Tables_number 160
_symmetry_space_group_name_Hall 'R 3 -2"'
_cell_length_a 4.2256
_cell_length_b 4.2256
_cell_length_c 22.0663
_cell_angle_alpha 90.00
_cell_angle_beta 90.00
_cell_angle_gamma 120.00
loop_
_atom_site_label
_atom_site_fract_x
_atom_site_fract_y
_atom_site_fract_z
_atom_site_occupancy
Dy1 0.0000 0.0000 0.0000 1
Y1 0.0000 0.0000 0.8141 1
Bi1 0.0000 0.0000 0.5744 1
As1 0.0000 0.0000 0.4046 1
```

## Properties
Energy of formation, eV/atom: -1.099
Magnetization, μB/f.u.: 0.00

***

(11)
Crystalline Er6Bi2As at its relaxed geometry. Source: Alexandria via LeMat-Bulk, functional PBE-GGA.

Geometry as CIF:
```
data_Er6Bi2As
_chemical_formula_sum 'Er12 Bi4 As2'
_symmetry_space_group_name_H-M 'P 1 21/c 1'
_symmetry_Int_Tables_number 14
_symmetry_space_group_name_Hall '-P 2ybc'
_cell_length_a 6.4386
_cell_length_b 8.0318
_cell_length_c 11.7936
_cell_angle_alpha 90.00
_cell_angle_beta 121.22
_cell_angle_gamma 90.00
loop_
_atom_site_label
_atom_site_fract_x
_atom_site_fract_y
_atom_site_fract_z
_atom_site_occupancy
Er1 0.0929 0.1915 0.4543 1
Er2 0.3181 0.6736 0.4527 1
Er3 0.3608 0.0268 0.2322 1
Bi1 0.1579 0.1159 0.7444 1
As1 0.5000 0.0000 0.5000 1
```

## Properties
Energy of formation, eV/atom: -0.637
Magnetization, μB/f.u.: 0.00

***

(12)
Crystalline Er3BiAs2 at its relaxed geometry. Source: Alexandria via LeMat-Bulk, functional PBE-GGA.

Geometry as CIF:
```
data_Er3BiAs2
_chemical_formula_sum 'Er12 Bi4 As8'
_symmetry_space_group_name_H-M 'C m c m'
_symmetry_Int_Tables_number 63
_symmetry_space_group_name_Hall '-C 2c 2'
_cell_length_a 5.0987
_cell_length_b 12.2931
_cell_length_c 9.9504
_cell_angle_alpha 90.00
_cell_angle_beta 90.00
_cell_angle_gamma 90.00
loop_
_atom_site_label
_atom_site_fract_x
_atom_site_fract_y
_atom_site_fract_z
_atom_site_occupancy
Er1 0.0000 0.1010 0.2500 1
Er2 0.0000 0.3717 0.0436 1
Bi1 0.0000 0.2139 0.7500 1
As1 0.0000 0.0000 0.0000 1
As2 0.0000 0.4698 0.7500 1
```

## Properties
Energy of formation, eV/atom: -0.863
Magnetization, μB/f.u.: 0.00

***

| no. | calculated density (g cm⁻³) |
| --- | --- |
| 1 | 8.4 |
| 2 | 8.5 |
| 3 | 8.6 |
| 4 | 8.8 |
| 5 | 8.6 |
| 6 | 8.6 |
| 7 | 8.3 |
| 8 | 9.6 |
| 9 | 9.2 |
| 10 | 7.8 |
| 11 | 9.5 |
| 12 | 9.2 |